Here is a relaxed Ho3Tl3VO8 crystal from Alexandria via LeMat-Bulk. Energies are from PBE+U.

Output
The total moment comes out at 1.000 μB/cell. As for the space group: C2/m, No. 12. Its theoretical density is 8.330 Mg/m³. The calculation puts the final energy at -6.813 eV per atom. The value obtained for the calculated volume is 256.5 Å³ per cell.

Cell: 6.7251 6.7251 7.6184 Å, 116.36 116.36 60.17°
Element x y z (fractional)
1 Ho 0.0000 0.0000 0.0000
2 Ho 0.0000 0.5000 0.0000
3 Ho 0.5000 0.0000 0.0000
4 Tl 0.0000 0.5000 0.5000
5 Tl 0.5000 0.0000 0.5000
6 Tl 0.5000 0.5000 0.5000
7 V 0.5000 0.5000 0.0000
8 O 0.2236 0.2236 0.1687
9 O 0.2521 0.7046 0.1605
10 O 0.2954 0.7479 0.8395
11 O 0.2989 0.2989 0.8420
12 O 0.7011 0.7011 0.1580
13 O 0.7046 0.2521 0.1605
14 O 0.7479 0.2954 0.8395
15 O 0.7764 0.7764 0.8313